Sm2GaCo3Ni12 after structural relaxation. Source: Alexandria, functional GGA-PBE.

Results
total DFT energy (no corrections): -102.22 eV/f.u.
formation energy: 52 meV/atom

POSCAR file:
```
Sm2GaCo3Ni12
1.0
4.158 2.400 4.014
-4.158 2.400 4.014
0.000 -4.801 4.014
Sm Ga Co Ni
2 1 3 12
Direct
0.227 0.227 0.227
0.773 0.773 0.773
0.500 0.500 0.500
0.000 0.500 0.500
0.500 0.000 0.500
0.500 0.500 0.000
0.079 0.079 0.650
0.079 0.650 0.079
0.229 0.699 0.699
0.301 0.301 0.771
0.301 0.771 0.301
0.350 0.921 0.921
0.650 0.079 0.079
0.699 0.229 0.699
0.699 0.699 0.229
0.771 0.301 0.301
0.921 0.350 0.921
0.921 0.921 0.350
```

***

ZnSbAu2 after structural relaxation. Source: Alexandria, functional GGA-PBE.

Results
total DFT energy (no corrections): -11.71 eV/f.u.
offset from the most stable computed form: 2.92 kcal/mol of atoms
formation energy without anion corrections: 61.2 meV per atom

POSCAR file:
```
ZnSbAu2
1.0
-1.680 2.437 4.795
1.680 -2.437 4.795
1.680 2.437 -4.795
Zn Sb Au
1 1 2
Direct
0.000 0.000 0.000
0.500 0.500 0.000
0.220 0.720 0.500
0.780 0.280 0.500
```

***

CeOsRu after structural relaxation. Source: Alexandria, functional GGA-PBE.

Results
total DFT energy (no corrections): -27.25 eV/f.u.
offset from the most stable computed form: 0.00 kcal/mol of atoms
formation energy: -270 meV/atom

POSCAR file:
```
CeOsRu
1.0
-2.532 2.756 3.949
2.532 -2.756 3.949
2.532 2.756 -3.949
Ce Os Ru
2 2 2
Direct
0.375 0.125 0.250
0.625 0.875 0.750
0.000 0.000 0.500
0.000 0.500 0.000
0.000 0.500 0.500
0.500 0.500 0.000
```

***

Q: Among the records above, which one has the lowest total DFT energy (no corrections)?
A: Sm2GaCo3Ni12

***

Q: Look up the total DFT energy (no corrections) of the third one.
A: -27.25 eV/f.u.